## Th3BiPtN (PBE-GGA)

Data for a relaxed Th3BiPtN crystal.

Structure (POSCAR):
```
Th3BiPtN
1.0
9.211 0.000 0.000
0.000 4.157 0.000
-1.919 0.000 9.246
Th Bi Pt N
6 2 2 2
Direct
0.055 0.250 0.340
0.333 0.250 0.982
0.379 0.750 0.656
0.621 0.250 0.344
0.667 0.750 0.018
0.945 0.750 0.660
0.320 0.750 0.274
0.680 0.250 0.726
0.160 0.250 0.656
0.840 0.750 0.344
0.418 0.750 0.907
0.582 0.250 0.093
```

Computed properties:
As for the calculated density: 10.451 g cm⁻³. The value obtained for the energy is -7.813 eV/atom. The calculation puts the total moment at 0.00 Bohr magnetons per cell.